5
Lattice="4.6585 0.0000 0.0000 0.0000 4.6585 0.0000 0.0000 0.0000 4.6585" Properties=species:S:1:pos:R:3 comment="RePdRh3 | Alexandria | GGA-PBE | optimized geometry" rho_g_cm3=9.88 ef_kj_per_mol_fu=607 magnetic_moment_mub_per_cell=0.0 relative_energy_mev_per_atom=1018.2 space_group="Pm-3m, No. 221" energy_ev_per_atom=-6.68 pbc="T T T"
Re 0.0000 0.0000 0.0000
Pd 2.3292 2.3292 2.3292
Rh 0.0000 0.0000 2.3292
Rh 0.0000 2.3292 0.0000
Rh 2.3292 0.0000 0.0000


13
Lattice="3.8021 -10.1601 0.0000 3.8021 10.1601 0.0000 0.0000 0.0000 5.6003" Properties=species:S:1:pos:R:3 comment="Tb2Dy8Y3 | Alexandria | GGA-PBE | optimized geometry" rho_g_cm3=7.23 ef_kj_per_mol_fu=298 magnetic_moment_mub_per_cell=0.0 space_group="Cmmm, No. 65" energy_ev_per_atom=-4.80 pbc="T T T"
Tb 3.8021 5.2518 0.0000
Tb 3.8021 -5.2518 0.0000
Dy 3.8021 7.4523 2.8001
Dy 2.1957 2.2033 0.0000
Dy 3.8021 3.3920 2.8001
Dy 2.1957 -2.2033 0.0000
Dy 5.4086 2.2033 0.0000
Dy 3.8021 -3.3920 2.8001
Dy 5.4086 -2.2033 0.0000
Dy 3.8021 -7.4523 2.8001
Y 0.0000 0.0000 0.0000
Y 2.1636 0.0000 2.8001
Y 5.4407 0.0000 2.8001


9
Lattice="3.9920 -2.1111 0.0000 3.9920 2.1111 0.0000 -1.0902 0.0000 8.1248" Properties=species:S:1:pos:R:3 comment="Mg2Zn3Pd4 | Alexandria | GGA-PBE | optimized geometry" rho_g_cm3=8.13 ef_kj_per_mol_fu=-497 magnetic_moment_mub_per_cell=0.0 space_group="C2/m, No. 12" energy_ev_per_atom=-3.66 pbc="T T T"
Mg 1.1734 0.0000 1.7898
Mg 5.7205 0.0000 6.3350
Zn 0.6229 0.0000 4.5770
Zn 3.9920 0.0000 0.0000
Zn 6.2710 0.0000 3.5478
Pd 0.3267 0.0000 7.2376
Pd 3.1253 0.0000 5.4364
Pd 3.7686 0.0000 2.6885
Pd 6.5672 0.0000 0.8872